Compound: CoGe2F8
Source: the Alexandria database
Functional: PBE with a Hubbard U
Structure: optimized geometry

Cell and atoms, written as CIF:
```
data_CoGe2F8
_chemical_formula_sum 'Co1 Ge2 F8'
_space_group_name_H-M_alt 'P 1'
_space_group_IT_number 1
_cell_length_a 5.7909
_cell_length_b 5.7909
_cell_length_c 5.0813
_cell_angle_alpha 104.97
_cell_angle_beta 104.97
_cell_angle_gamma 70.63
loop_
_space_group_symop_operation_xyz
'x,y,z'
loop_
_atom_site_label
_atom_site_fract_x
_atom_site_fract_y
_atom_site_fract_z
_atom_site_occupancy
Co1 0.0000 0.0000 0.0000 1
Ge1 0.3379 0.3379 0.7608 1
Ge2 0.6621 0.6621 0.2392 1
F1 0.0751 0.6496 0.7607 1
F2 0.1415 0.1415 0.7643 1
F3 0.3504 0.9249 0.2393 1
F4 0.4144 0.4144 0.1479 1
F5 0.5856 0.5856 0.8521 1
F6 0.6496 0.0751 0.7607 1
F7 0.8585 0.8585 0.2357 1
F8 0.9249 0.3504 0.2393 1
```

Computed properties:
- Mass density: 3.9 g cm⁻³
- Crystal system: monoclinic
- Total DFT energy (no corrections): -4.7031 eV per atom
- SG: C2/m, No. 12